No. 1
# Te2PIBr (PBE-GGA, optimized geometry)
data_Te2PIBr
_chemical_formula_sum 'Te2 P1 I1 Br1'
_space_group_name_H-M_alt 'P 4/m m m'
_space_group_IT_number 123
_space_group_name_Hall '-P 4 2'
_cell_length_a 5.362
_cell_length_b 5.362
_cell_length_c 5.363
_cell_angle_alpha 90.00
_cell_angle_beta 90.00
_cell_angle_gamma 90.00
loop_
_atom_site_label
_atom_site_type_symbol
_atom_site_fract_x
_atom_site_fract_y
_atom_site_fract_z
Te1 Te 0.000 0.500 0.000
P1 P 0.000 0.000 0.000
I1 I 0.000 0.000 0.500
Br1 Br 0.500 0.500 0.500
# * E_tot: -2.54 eV/atom
# * energy relative to the elements, uncorrected: 10.318 kcal/mol of atoms
# * relative energy among the computed polymorphs: 0.0000 eV/atom
# * spin magnetization: 0.00 μB/f.u.



No. 2
# TlP2IBr (PBE-GGA, optimized geometry)
data_TlP2IBr
_chemical_formula_sum 'Tl1 P2 I1 Br1'
_space_group_name_H-M_alt 'P 4/m m m'
_space_group_IT_number 123
_space_group_name_Hall '-P 4 2'
_cell_length_a 5.329
_cell_length_b 5.329
_cell_length_c 6.256
_cell_angle_alpha 90.00
_cell_angle_beta 90.00
_cell_angle_gamma 90.00
loop_
_atom_site_label
_atom_site_type_symbol
_atom_site_fract_x
_atom_site_fract_y
_atom_site_fract_z
Tl1 Tl 0.000 0.000 0.000
P1 P 0.000 0.500 0.000
I1 I 0.000 0.000 0.500
Br1 Br 0.500 0.500 0.500
# * E_tot: -2.20 eV/atom
# * energy relative to the elements, uncorrected: 24.866 kcal/mol of atoms
# * spin magnetization: 3.95 μB/f.u.



No. 3
# PaIBr6 (PBE-GGA, optimized geometry)
data_PaIBr6
_chemical_formula_sum 'Pa2 I2 Br12'
_space_group_name_H-M_alt 'C 1 2/m 1'
_space_group_IT_number 12
_cell_length_a 8.863
_cell_length_b 12.195
_cell_length_c 8.108
_cell_angle_alpha 90.00
_cell_angle_beta 117.00
_cell_angle_gamma 90.00
loop_
_space_group_symop_operation_xyz
'x,y,z'
'-x,-y,-z'
'-x,y,-z'
'x,-y,z'
'x+1/2,y+1/2,z'
'-x+1/2,-y+1/2,-z'
'-x+1/2,y+1/2,-z'
'x+1/2,-y+1/2,z'
loop_
_atom_site_label
_atom_site_type_symbol
_atom_site_fract_x
_atom_site_fract_y
_atom_site_fract_z
Pa1 Pa 0.000 0.000 0.000
I1 I 0.000 0.500 0.500
Br1 Br 0.188 0.160 0.249
Br2 Br 0.220 0.000 0.858
# * E_tot: -3.58 eV/atom
# * energy relative to the elements, uncorrected: -21.787 kcal/mol of atoms
# * relative energy among the computed polymorphs: 0.1147 eV/atom
# * spin magnetization: 1.90 μB/f.u.



No. 4
# PaIBr3 (PBE-GGA, optimized geometry)
data_PaIBr3
_chemical_formula_sum 'Pa4 I4 Br12'
_space_group_name_H-M_alt 'P n m a'
_space_group_IT_number 62
_cell_length_a 9.803
_cell_length_b 8.700
_cell_length_c 10.721
_cell_angle_alpha 90.00
_cell_angle_beta 90.00
_cell_angle_gamma 90.00
loop_
_space_group_symop_operation_xyz
'x,y,z'
'-x,-y,-z'
'-x+1/2,-y,z+1/2'
'x+1/2,y,-z+1/2'
'x+1/2,-y+1/2,-z+1/2'
'-x+1/2,y+1/2,z+1/2'
'-x,y+1/2,-z'
'x,-y+1/2,z'
loop_
_atom_site_label
_atom_site_type_symbol
_atom_site_fract_x
_atom_site_fract_y
_atom_site_fract_z
Pa1 Pa 0.000 0.000 0.000
I1 I 0.001 0.250 0.207
Br1 Br 0.002 0.750 0.178
Br2 Br 0.225 0.501 0.499
# * E_tot: -4.50 eV/atom
# * energy relative to the elements, uncorrected: -29.777 kcal/mol of atoms
# * relative energy among the computed polymorphs: 0.0000 eV/atom
# * spin magnetization: 1.00 μB/f.u.



No. 5
# Pa2IBr8 (PBE-GGA, optimized geometry)
data_Pa2IBr8
_chemical_formula_sum 'Pa4 I2 Br16'
_space_group_name_H-M_alt 'C 1 2/m 1'
_space_group_IT_number 12
_cell_length_a 19.991
_cell_length_b 11.676
_cell_length_c 5.743
_cell_angle_alpha 90.00
_cell_angle_beta 106.66
_cell_angle_gamma 90.00
loop_
_space_group_symop_operation_xyz
'x,y,z'
'-x,-y,-z'
'-x,y,-z'
'x,-y,z'
'x+1/2,y+1/2,z'
'-x+1/2,-y+1/2,-z'
'-x+1/2,y+1/2,-z'
'x+1/2,-y+1/2,z'
loop_
_atom_site_label
_atom_site_type_symbol
_atom_site_fract_x
_atom_site_fract_y
_atom_site_fract_z
Pa1 Pa 0.164 0.000 0.161
I1 I 0.000 0.000 0.000
Br1 Br 0.155 0.000 0.652
Br2 Br 0.156 0.228 0.151
Br3 Br 0.198 0.500 0.700
# * E_tot: -4.41 eV/atom
# * energy relative to the elements, uncorrected: -30.530 kcal/mol of atoms
# * relative energy among the computed polymorphs: 0.0286 eV/atom
# * spin magnetization: 1.05 μB/f.u.



No. 6
# Pa3I7Br (PBE-GGA, optimized geometry)
data_Pa3I7Br
_chemical_formula_sum 'Pa3 I7 Br1'
_space_group_name_H-M_alt 'P 3 m 1'
_space_group_IT_number 156
_cell_length_a 8.2138
_cell_length_b 8.2138
_cell_length_c 8.0295
_cell_angle_alpha 90.00
_cell_angle_beta 90.00
_cell_angle_gamma 120.00
loop_
_space_group_symop_operation_xyz
'x,y,z'
'-y,x-y,z'
'-x+y,-x,z'
'-y,-x,z'
'-x+y,y,z'
'x,x-y,z'
loop_
_atom_site_label
_atom_site_type_symbol
_atom_site_fract_x
_atom_site_fract_y
_atom_site_fract_z
Pa1 Pa 0.0099 0.5050 0.0000
I1 I 0.1626 0.3253 0.7527
I2 I 0.3257 0.1628 0.2402
I3 I 0.6667 0.3333 0.7487
Br1 Br 0.3333 0.6667 0.2369
# * E_tot: -4.59 eV/atom
# * energy relative to the elements, uncorrected: -19.829 kcal/mol of atoms
# * spin magnetization: 7.02 μB/f.u.



No. 7
# PaI2Br8 (PBE-GGA, optimized geometry)
data_PaI2Br8
_chemical_formula_sum 'Pa2 I4 Br16'
_space_group_name_H-M_alt 'C 1 2/m 1'
_space_group_IT_number 12
_cell_length_a 17.309
_cell_length_b 7.605
_cell_length_c 8.097
_cell_angle_alpha 90.00
_cell_angle_beta 110.74
_cell_angle_gamma 90.00
loop_
_space_group_symop_operation_xyz
'x,y,z'
'-x,-y,-z'
'-x,y,-z'
'x,-y,z'
'x+1/2,y+1/2,z'
'-x+1/2,-y+1/2,-z'
'-x+1/2,y+1/2,-z'
'x+1/2,-y+1/2,z'
loop_
_atom_site_label
_atom_site_type_symbol
_atom_site_fract_x
_atom_site_fract_y
_atom_site_fract_z
Pa1 Pa 0.000 0.000 0.000
I1 I 0.243 0.500 0.525
Br1 Br 0.079 0.000 0.376
Br2 Br 0.087 0.500 0.436
Br3 Br 0.104 0.246 0.967
# * E_tot: -3.13 eV/atom
# * energy relative to the elements, uncorrected: -17.789 kcal/mol of atoms
# * spin magnetization: 0.00 μB/f.u.



No. 8
# PaI2Br4 (PBE-GGA, optimized geometry)
data_PaI2Br4
_chemical_formula_sum 'Pa2 I4 Br8'
_space_group_name_H-M_alt 'I -4 2 m'
_space_group_IT_number 121
_space_group_name_Hall 'I -4 2'
_cell_length_a 5.153
_cell_length_b 5.153
_cell_length_c 23.566
_cell_angle_alpha 90.00
_cell_angle_beta 90.00
_cell_angle_gamma 90.00
loop_
_atom_site_label
_atom_site_type_symbol
_atom_site_fract_x
_atom_site_fract_y
_atom_site_fract_z
Pa1 Pa 0.000 0.000 0.000
I1 I 0.000 0.500 0.250
Br1 Br 0.233 0.233 0.577
# * E_tot: -3.48 eV/atom
# * energy relative to the elements, uncorrected: -16.665 kcal/mol of atoms
# * relative energy among the computed polymorphs: 0.0541 eV/atom
# * spin magnetization: 0.80 μB/f.u.